# Sr2ReTcP | Alexandria | PBE-GGA | optimized geometry
# M_tot = 4.406 μB per cell
# Final energy = -5.22 eV per atom
# Formation energy = 1102 meV per atom
data_Sr2ReTcP
_space_group_name_H-M_alt 'P 4/m m m'
_space_group_IT_number 123
_space_group_name_Hall '-P 4 2'
_cell_length_a 5.8062
_cell_length_b 5.8062
_cell_length_c 4.4702
_cell_angle_alpha 90.00
_cell_angle_beta 90.00
_cell_angle_gamma 90.00
loop_
_atom_site_label
_atom_site_fract_x
_atom_site_fract_y
_atom_site_fract_z
Sr1 0.0000 0.5000 0.0000
Re1 0.0000 0.0000 0.5000
Tc1 0.5000 0.5000 0.0000
P1 0.5000 0.5000 0.5000

***

# Pm2Y4Er2Sc | Alexandria | PBE-GGA | optimized geometry
# M_tot = 0.000 μB per cell
# Final energy = -5.63 eV per atom
# Formation energy = 13 meV per atom
data_Pm2Y4Er2Sc
_space_group_name_H-M_alt 'C 1 2/m 1'
_space_group_IT_number 12
_cell_length_a 18.5138
_cell_length_b 3.5778
_cell_length_c 9.4863
_cell_angle_alpha 90.00
_cell_angle_beta 115.62
_cell_angle_gamma 90.00
loop_
_space_group_symop_operation_xyz
'x,y,z'
'-x,-y,-z'
'-x,y,-z'
'x,-y,z'
'x+1/2,y+1/2,z'
'-x+1/2,-y+1/2,-z'
'-x+1/2,y+1/2,-z'
'x+1/2,-y+1/2,z'
loop_
_atom_site_label
_atom_site_fract_x
_atom_site_fract_y
_atom_site_fract_z
Pm1 0.1634 0.0000 0.4963
Y1 0.0191 0.0000 0.8314
Y2 0.1849 0.5000 0.8327
Er1 0.1475 0.5000 0.1638
Sc1 0.0000 0.5000 0.5000

***

# MgReSi2Pd | Alexandria | PBE-GGA | optimized geometry
# M_tot = 0.000 μB per cell
# Final energy = -5.52 eV per atom
# Formation energy from raw total energies = 47.87 kJ/mol of atoms
data_MgReSi2Pd
_space_group_name_H-M_alt 'P 4/m m m'
_space_group_IT_number 123
_space_group_name_Hall '-P 4 2'
_cell_length_a 4.5887
_cell_length_b 4.5887
_cell_length_c 5.0211
_cell_angle_alpha 90.00
_cell_angle_beta 90.00
_cell_angle_gamma 90.00
loop_
_atom_site_label
_atom_site_fract_x
_atom_site_fract_y
_atom_site_fract_z
Mg1 0.0000 0.0000 0.0000
Re1 0.0000 0.0000 0.5000
Si1 0.0000 0.5000 0.5000
Pd1 0.5000 0.5000 0.0000

***

# ScTa2Co | Alexandria | PBE-GGA | optimized geometry
# M_tot = 1.689 μB per cell
# Final energy = -9.20 eV per atom
# Formation energy = 88 meV per atom
data_ScTa2Co
_space_group_name_H-M_alt 'I m m 2'
_space_group_IT_number 44
_cell_length_a 3.1170
_cell_length_b 4.7941
_cell_length_c 9.1166
_cell_angle_alpha 90.00
_cell_angle_beta 90.00
_cell_angle_gamma 90.00
loop_
_space_group_symop_operation_xyz
'x,y,z'
'-x,-y,z'
'-x,y,z'
'x,-y,z'
'x+1/2,y+1/2,z+1/2'
'-x+1/2,-y+1/2,z+1/2'
'-x+1/2,y+1/2,z+1/2'
'x+1/2,-y+1/2,z+1/2'
loop_
_atom_site_label
_atom_site_fract_x
_atom_site_fract_y
_atom_site_fract_z
Sc1 0.0000 0.0000 0.0000
Ta1 0.0000 0.0000 0.5444
Ta2 0.0000 0.5000 0.7798
Co1 0.0000 0.5000 0.2621

***

# GaIrRh3 | Alexandria | PBE-GGA | optimized geometry
# M_tot = 0.000 μB per cell
# Final energy = -6.98 eV per atom
# Formation energy = -192 meV per atom
data_GaIrRh3
_space_group_name_H-M_alt 'P -1'
_space_group_IT_number 2
_cell_length_a 4.7272
_cell_length_b 5.4402
_cell_length_c 6.1842
_cell_angle_alpha 103.47
_cell_angle_beta 97.25
_cell_angle_gamma 108.56
loop_
_space_group_symop_operation_xyz
'x,y,z'
'-x,-y,-z'
loop_
_atom_site_label
_atom_site_fract_x
_atom_site_fract_y
_atom_site_fract_z
Ga1 0.0991 0.4398 0.2078
Ir1 0.3125 0.3431 0.6046
Rh1 0.0956 0.9444 0.1984
Rh2 0.2967 0.8442 0.5998
Rh3 0.4853 0.7440 0.0007

***

# MnAlGa3 | Alexandria | PBE-GGA | optimized geometry
# M_tot = 0.468 μB per cell
# Final energy = -3.22 eV per atom
# Formation energy = 1174 meV per atom
data_MnAlGa3
_space_group_name_H-M_alt 'P m -3 m'
_space_group_IT_number 221
_space_group_name_Hall '-P 4 2 3'
_cell_length_a 4.7271
_cell_length_b 4.7271
_cell_length_c 4.7271
_cell_angle_alpha 90.00
_cell_angle_beta 90.00
_cell_angle_gamma 90.00
loop_
_atom_site_label
_atom_site_fract_x
_atom_site_fract_y
_atom_site_fract_z
Mn1 0.0000 0.0000 0.0000
Al1 0.5000 0.5000 0.5000
Ga1 0.0000 0.5000 0.5000

***

What is the M_tot in the third record?
0.000 μB per cell